# PaTl2In3Te6

An optimized crystal structure of PaTl2In3Te6 (GGA-PBE, the Alexandria database).

a b c (Å): 8.101 8.101 7.748
angles (deg): 99.12 99.12 119.49
Fractional coordinates of all 12 atoms:
Te  0.078  0.380  0.246
Te  0.922  0.620  0.754
Te  0.380  0.078  0.246
Te  0.221  0.221  0.751
Te  0.620  0.922  0.754
Te  0.779  0.779  0.249
Tl  0.670  0.330  0.000
Tl  0.330  0.670  0.000
In  0.500  0.500  0.500
In  0.842  0.158  0.500
In  0.158  0.842  0.500
Pa  0.000  0.000  0.000

Results
Calculated total energy in eV/atom: -3.85
Space-group type: C2/m
Total moment in μB/cell: 0.00



# BaAlIn2

An optimized crystal structure of BaAlIn2 (GGA-PBE, the Alexandria database).

a b c (Å): 5.524 5.524 5.524
angles (deg): 118.56 122.09 89.46
Fractional coordinates of all 4 atoms:
Ba  0.248  0.748  0.500
Al  0.487  0.487  0.000
In  0.010  0.010  0.000
In  0.755  0.255  0.500

Results
Energy of formation in eV per formula unit: -0.4
Space-group type: Imm2
Total moment in μB/cell: 0.00



# Nd3Lu5O12

An optimized crystal structure of Nd3Lu5O12 (GGA-PBE, the Alexandria database).

a b c (Å): 11.649 11.649 11.649
angles (deg): 109.47 109.47 109.47
Fractional coordinates of all 80 atoms:
O  0.213  0.537  0.628
O  0.872  0.585  0.909
O  0.128  0.713  0.537
O  0.963  0.591  0.176
O  0.824  0.915  0.287
O  0.537  0.213  0.128
O  0.628  0.591  0.915
O  0.909  0.085  0.872
O  0.915  0.824  0.787
O  0.537  0.324  0.909
O  0.676  0.463  0.591
O  0.409  0.372  0.585
O  0.585  0.713  0.676
O  0.128  0.415  0.091
O  0.915  0.091  0.628
O  0.909  0.824  0.537
O  0.585  0.872  0.409
O  0.176  0.085  0.713
O  0.324  0.537  0.409
O  0.463  0.787  0.872
O  0.628  0.037  0.213
O  0.085  0.909  0.372
O  0.372  0.963  0.787
O  0.037  0.409  0.824
O  0.287  0.872  0.963
O  0.085  0.176  0.213
O  0.676  0.213  0.585
O  0.713  0.585  0.176
O  0.872  0.287  0.463
O  0.176  0.091  0.963
O  0.713  0.128  0.037
O  0.324  0.787  0.415
O  0.463  0.676  0.091
O  0.787  0.463  0.372
O  0.091  0.176  0.463
O  0.415  0.128  0.591
O  0.415  0.287  0.324
O  0.409  0.037  0.324
O  0.787  0.324  0.915
O  0.963  0.372  0.287
O  0.287  0.415  0.824
O  0.037  0.628  0.713
O  0.591  0.963  0.676
O  0.213  0.676  0.085
O  0.091  0.915  0.128
O  0.824  0.909  0.037
O  0.591  0.628  0.415
O  0.372  0.409  0.085
Lu  0.625  0.875  0.250
Lu  0.125  0.750  0.375
Lu  0.750  0.125  0.875
Lu  0.000  0.500  0.000
Lu  0.250  0.375  0.625
Lu  0.500  0.000  0.500
Lu  0.500  0.000  0.000
Lu  0.875  0.625  0.750
Lu  0.625  0.750  0.875
Lu  0.000  0.000  0.500
Lu  0.500  0.500  0.500
Lu  0.750  0.625  0.375
Lu  0.125  0.375  0.250
Lu  0.375  0.250  0.125
Lu  0.375  0.125  0.750
Lu  0.875  0.250  0.625
Lu  0.500  0.500  0.000
Lu  0.000  0.500  0.500
Lu  0.250  0.875  0.125
Lu  0.000  0.000  0.000
Nd  0.625  0.375  0.750
Nd  0.250  0.125  0.375
Nd  0.375  0.750  0.625
Nd  0.750  0.875  0.625
Nd  0.375  0.625  0.250
Nd  0.625  0.250  0.375
Nd  0.125  0.875  0.750
Nd  0.250  0.625  0.875
Nd  0.875  0.125  0.250
Nd  0.875  0.750  0.125
Nd  0.125  0.250  0.875
Nd  0.750  0.375  0.125

Results
Calculated total energy in eV/atom: -8.27
Space-group type: Ia-3d
Total moment in μB/cell: 0.00



# HIrOs

An optimized crystal structure of HIrOs (GGA-PBE, the Alexandria database).

a b c (Å): 2.775 5.181 4.915
angles (deg): 85.70 73.70 74.38
Fractional coordinates of all 6 atoms:
Os  0.305  0.570  0.525
Os  0.914  0.801  0.075
Ir  0.530  0.015  0.628
Ir  0.693  0.354  0.966
H  0.535  0.254  0.330
H  0.237  0.938  0.286

Results
Calculated total energy in eV/atom: -7.55
Space-group type: P1
Total moment in μB/cell: 0.00



# Cu2ICl

An optimized crystal structure of Cu2ICl (GGA-PBE, the Alexandria database).

a b c (Å): 4.402 4.402 6.742
angles (deg): 70.94 70.94 60.00
Fractional coordinates of all 4 atoms:
Cu  0.881  0.881  0.356
Cu  0.119  0.119  0.644
I  0.500  0.500  0.500
Cl  0.000  0.000  0.000

Results
Calculated total energy in eV/atom: -3.00
Space-group type: R-3m
Total moment in μB/cell: 0.00



# ErMoSe

An optimized crystal structure of ErMoSe (GGA-PBE, the Alexandria database).

a b c (Å): 3.653 3.653 9.521
angles (deg): 90.00 90.00 90.00
Fractional coordinates of all 6 atoms:
Er  0.500  0.000  0.735
Er  0.000  0.500  0.265
Se  0.000  0.500  0.639
Se  0.500  0.000  0.361
Mo  0.500  0.000  0.066
Mo  0.000  0.500  0.934

Results
Calculated total energy in eV/atom: -7.04
Space-group type: P4/nmm
Total moment in μB/cell: 0.00